Density functional theory data (GGA-PBE) for a relaxed structure of Cd3Hg2Pb3.

a = 6.075 Å, b = 6.075 Å, c = 6.075 Å
α = 94.87°, β = 94.87°, γ = 94.87°
Element x y z (fractional)
Cd  0.000  0.272  0.728
Cd  0.272  0.728  0.000
Cd  0.728  0.000  0.272
Hg  0.212  0.212  0.212
Hg  0.788  0.788  0.788
Pb  0.263  0.737  0.500
Pb  0.500  0.263  0.737
Pb  0.737  0.500  0.263

Properties
ΔH_f (0 K) in kJ/mol of formula units: 46
Excess energy over the best structure of this formula in the dataset in kJ per mole of atoms: 1.1